Density functional theory data (PBE-GGA) for an optimized crystal structure of Lu2PuPt.

Properties
Total DFT energy (no corrections): -7.942 eV per atom
DFT formation energy: -0.5884 eV per atom
Offset from the most stable computed form: 0 meV/atom
Space group: No. 123
Size of the total moment: 6.64 Bohr magnetons per cell

Geometry as POSCAR:
```
Lu2PuPt
1.0
-1.531 -2.610 1.643
1.807 -2.246 -1.883
6.005 0.061 5.692
Lu Pt Pu
2 1 1
Direct
0.000 0.000 0.802 Lu
0.000 0.000 0.198 Lu
0.500 0.500 0.000 Pt
0.500 0.500 0.500 Pu
```

=====

Density functional theory data (PBE-GGA) for an optimized crystal structure of ZrCoCuHg.

Properties
Total DFT energy (no corrections): -5.026 eV per atom
DFT formation energy: -0.0130 eV per atom
Space group: No. 216
Size of the total moment: 1.04 Bohr magnetons per cell

Geometry as POSCAR:
```
ZrCoCuHg
1.0
4.509 0.000 0.000
2.255 3.905 0.000
2.255 1.302 3.682
Cu Co Hg Zr
1 1 1 1
Direct
0.000 0.000 0.000 Cu
0.500 0.500 0.500 Co
0.250 0.250 0.250 Hg
0.750 0.750 0.750 Zr
```

=====

Density functional theory data (PBE-GGA) for an optimized crystal structure of SrH8Ir2Pd.

Properties
Total DFT energy (no corrections): -4.431 eV per atom
Space group: No. 148
Size of the total moment: 0.00 Bohr magnetons per cell

Geometry as POSCAR:
```
SrH8Ir2Pd
1.0
4.827 0.000 0.000
2.414 4.180 0.000
2.414 1.393 5.825
Sr H Ir Pd
1 8 2 1
Direct
0.500 0.500 0.500 Sr
0.199 0.199 0.402 H
0.618 0.297 0.160 H
0.801 0.801 0.598 H
0.925 0.618 0.160 H
0.075 0.382 0.840 H
0.297 0.925 0.160 H
0.703 0.075 0.840 H
0.382 0.703 0.840 H
0.293 0.293 0.122 Ir
0.707 0.707 0.878 Ir
0.000 0.000 0.000 Pd
```